# 1
An optimized crystal structure of SrLiTl2In. Source: Alexandria via LeMat-Bulk, functional PBE.

abc: 6.874 5.999 6.828
angles: 90.00 90.00 90.00
Sites, in units of the cell vectors:
Sr (0.218, 0.250, 0.500)
Sr (0.782, 0.750, 0.500)
Li (0.000, 0.000, 0.000)
Li (0.000, 0.500, 0.000)
Tl (0.723, 0.250, 0.749)
Tl (0.723, 0.250, 0.251)
Tl (0.277, 0.750, 0.749)
Tl (0.277, 0.750, 0.251)
In (0.647, 0.750, 0.000)
In (0.353, 0.250, 0.000)

ΔE to the lowest computed polymorph: 0 meV/atom
symmetry: No. 51
M_tot: 0.0000 μB per atom
formation energy: -258 meV/atom

---

# 2
An optimized crystal structure of Sr2LiTlIn6. Source: Alexandria via LeMat-Bulk, functional PBE.

abc: 7.315 7.315 13.614
angles: 74.42 74.42 60.00
Sites, in units of the cell vectors:
Sr (0.896, 0.896, 0.312)
Sr (0.104, 0.104, 0.688)
Sr (0.723, 0.723, 0.830)
Sr (0.277, 0.277, 0.170)
Li (0.000, 0.000, 0.000)
Li (0.500, 0.500, 0.500)
Tl (0.574, 0.574, 0.278)
Tl (0.426, 0.426, 0.722)
In (0.921, 0.330, 0.419)
In (0.330, 0.921, 0.419)
In (0.330, 0.330, 0.419)
In (0.079, 0.670, 0.581)
In (0.670, 0.079, 0.581)
In (0.670, 0.670, 0.581)
In (0.645, 0.219, 0.917)
In (0.219, 0.645, 0.917)
In (0.219, 0.219, 0.917)
In (0.355, 0.781, 0.083)
In (0.781, 0.355, 0.083)
In (0.781, 0.781, 0.083)

symmetry: No. 166
M_tot: 0.0000 μB per atom
formation energy: -186 meV/atom

---

# 3
An optimized crystal structure of SrLiTl2In. Source: Alexandria via LeMat-Bulk, functional PBE.

abc: 5.242 5.242 5.195
angles: 90.00 90.00 90.00
Sites, in units of the cell vectors:
Sr (0.500, 0.500, 0.500)
Tl (0.000, 0.500, 0.000)
Tl (0.500, 0.000, 0.000)
Li (0.000, 0.000, 0.000)
In (0.000, 0.000, 0.500)

ΔE to the lowest computed polymorph: 77 meV/atom
symmetry: No. 123
M_tot: 0.0000 μB per atom
formation energy: -182 meV/atom

---

# 4
An optimized crystal structure of Sr2Li2TmIn5. Source: Alexandria via LeMat-Bulk, functional PBE.

abc: 3.956 11.524 11.524
angles: 90.00 90.00 90.00
Sites, in units of the cell vectors:
Sr (0.000, 0.678, 0.178)
Sr (0.000, 0.322, 0.822)
Sr (0.000, 0.178, 0.322)
Sr (0.000, 0.822, 0.678)
Li (0.000, 0.121, 0.621)
Li (0.000, 0.879, 0.379)
Li (0.000, 0.621, 0.879)
Li (0.000, 0.379, 0.121)
Tm (0.000, 0.000, 0.000)
Tm (0.000, 0.500, 0.500)
In (0.500, 0.210, 0.062)
In (0.500, 0.790, 0.938)
In (0.500, 0.062, 0.790)
In (0.500, 0.710, 0.438)
In (0.500, 0.938, 0.210)
In (0.500, 0.290, 0.562)
In (0.500, 0.562, 0.710)
In (0.500, 0.438, 0.290)
In (0.500, 0.500, 0.000)
In (0.500, 0.000, 0.500)

symmetry: No. 127
M_tot: 0.0000 μB per atom
formation energy: -364 meV/atom

---

# 5
An optimized crystal structure of SrLiTm2In4. Source: Alexandria via LeMat-Bulk, functional PBE.

abc: 5.270 5.270 9.418
angles: 73.75 73.75 60.00
Sites, in units of the cell vectors:
Sr (0.000, 0.000, 0.000)
Li (0.500, 0.500, 0.500)
Tm (0.754, 0.754, 0.737)
Tm (0.246, 0.246, 0.263)
In (0.385, 0.385, 0.846)
In (0.872, 0.872, 0.385)
In (0.128, 0.128, 0.615)
In (0.615, 0.615, 0.154)

symmetry: No. 166
M_tot: 0.0000 μB per atom
formation energy: -329 meV/atom

---

# 6
An optimized crystal structure of Sr2Li5Zn2In. Source: Alexandria via LeMat-Bulk, functional PBE.

abc: 4.607 10.326 10.326
angles: 90.00 90.00 90.00
Sites, in units of the cell vectors:
Sr (0.000, 0.691, 0.191)
Sr (0.000, 0.309, 0.809)
Sr (0.000, 0.191, 0.309)
Sr (0.000, 0.809, 0.691)
Li (0.500, 0.208, 0.054)
Li (0.500, 0.792, 0.946)
Li (0.500, 0.054, 0.792)
Li (0.500, 0.708, 0.446)
Li (0.500, 0.946, 0.208)
Li (0.500, 0.292, 0.554)
Li (0.500, 0.554, 0.708)
Li (0.500, 0.446, 0.292)
Li (0.500, 0.500, 0.000)
Li (0.500, 0.000, 0.500)
Zn (0.000, 0.098, 0.598)
Zn (0.000, 0.902, 0.402)
Zn (0.000, 0.598, 0.902)
Zn (0.000, 0.402, 0.098)
In (0.000, 0.000, 0.000)
In (0.000, 0.500, 0.500)

symmetry: No. 127
M_tot: 0.0000 μB per atom
formation energy: -120 meV/atom

---

# 7
An optimized crystal structure of Sr2LiZn4In3. Source: Alexandria via LeMat-Bulk, functional PBE.

abc: 4.718 4.718 10.869
angles: 90.00 90.00 90.00
Sites, in units of the cell vectors:
Sr (0.500, 0.000, 0.244)
Sr (0.000, 0.500, 0.756)
Li (0.500, 0.500, 0.500)
Zn (0.500, 0.500, 0.000)
Zn (0.000, 0.000, 0.000)
Zn (0.500, 0.000, 0.621)
Zn (0.000, 0.500, 0.379)
In (0.000, 0.000, 0.500)
In (0.500, 0.000, 0.866)
In (0.000, 0.500, 0.134)

symmetry: No. 115
M_tot: 0.0000 μB per atom
formation energy: -253 meV/atom

---

# 8
An optimized crystal structure of LiTaIn2. Source: Alexandria via LeMat-Bulk, functional PBE.

abc: 3.102 4.546 5.856
angles: 90.00 90.00 90.00
Sites, in units of the cell vectors:
In (0.000, 0.000, 0.945)
In (0.500, 0.500, 0.290)
Li (0.000, 0.000, 0.491)
Ta (0.500, 0.500, 0.774)

ΔE to the lowest computed polymorph: 231 meV/atom
symmetry: No. 25
M_tot: 0.0000 μB per atom
formation energy: 236 meV/atom

---

It is found that the calculated total energy values, taken in the order of the records, are -2.471, -2.594, -2.395, -2.899, -3.266, -1.942, -2.112, -4.575 eV per atom.